Na5V7O14 | Alexandria via LeMat-Bulk | GGA+U | optimized geometry; E_tot = -179.59 eV/cell; calculated density = 3.77 g/cm³; SG = No. 2; DOS(E_F) = 2.5 states/eV/cell
1.0
5.2392 0.0085 -0.0150
-1.0286 7.1569 -0.0256
-1.8770 -0.3864 8.1686
O V Na
14 7 5
Direct
0.6058 0.1812 0.4883 O
0.0337 0.0367 0.3492 O
0.2428 0.5392 0.2264 O
0.9663 0.9633 0.6508 O
0.3942 0.8188 0.5117 O
0.8995 0.7514 0.0611 O
0.1855 0.3309 0.6261 O
0.6979 0.3886 0.0750 O
0.5161 0.1007 0.7928 O
0.4839 0.8993 0.2072 O
0.1005 0.2486 0.9389 O
0.7572 0.4608 0.7736 O
0.8145 0.6691 0.3739 O
0.3021 0.6114 0.9250 O
0.1465 0.7896 0.2883 V
0.0000 0.5000 0.0000 V
0.5791 0.6420 0.1460 V
0.4209 0.3580 0.8540 V
0.2911 0.0721 0.5714 V
0.7089 0.9279 0.4286 V
0.8535 0.2104 0.7117 V
0.7845 0.0664 0.0654 Na
0.5000 0.5000 0.5000 Na
0.9212 0.3452 0.3484 Na
0.0788 0.6548 0.6516 Na
0.2155 0.9336 0.9346 Na